(1)
# Pr5Bi4C

A relaxed Pr5Bi4C crystal (PBE, Alexandria via LeMat-Bulk).

Unit cell a=6.4996 b=7.7508 c=7.7508 alpha=79.87 beta=65.21 gamma=65.21
With the nearest neighbours (Å) after each atom.
Positions (direct):
C: 0.0568 0.0000 0.0000  5 Pr 2.48-2.71
Bi: 0.5861 0.6059 0.2289  6 Pr 3.23-3.41
Bi: 0.4210 0.3941 0.7711  6 Pr 3.23-3.41
Bi: 0.8151 0.7711 0.6059  6 Pr 3.23-3.41
Bi: 0.1921 0.2289 0.3941  6 Pr 3.23-3.41
Pr: 0.4390 0.0000 0.0000  1 C 2.48
Pr: 0.2532 0.8412 0.6526  1 C 2.71
Pr: 0.0944 0.6526 0.1588  1 C 2.71
Pr: 0.7470 0.1588 0.3474  1 C 2.71
Pr: 0.9058 0.3474 0.8412  1 C 2.71

The energy is -54.89 eV/cell. The calculation puts the density at 8.01 Mg/m³.

(2)
# CsTa2Hg

A relaxed CsTa2Hg crystal (PBE, Alexandria via LeMat-Bulk).

Unit cell a=4.6714 b=4.6714 c=11.4156 alpha=78.19 beta=78.19 gamma=90.00
With the nearest neighbours (Å) after each atom.
Positions (direct):
Cs: 0.5000 0.5000 0.0000  4 Hg 3.30, 4 Ta 3.48
Cs: 0.2500 0.7500 0.5000  4 Hg 3.30, 4 Ta 3.48
Ta: 0.9871 0.6250 0.2500  2 Ta 2.56
Ta: 0.7629 0.1250 0.2500  2 Ta 2.56
Ta: 0.8750 0.0129 0.7500  2 Ta 2.56
Ta: 0.3750 0.2371 0.7500  2 Ta 2.56
Hg: 0.0000 0.0000 0.0000  4 Ta 3.02, 4 Cs 3.30
Hg: 0.7500 0.2500 0.5000  4 Ta 3.02, 4 Cs 3.30

The energy is -37.58 eV/cell. The calculation puts the density at 9.68 Mg/m³.

(3)
# KRuSe

A relaxed KRuSe crystal (PBE, Alexandria via LeMat-Bulk).

Unit cell a=3.9064 b=3.9064 c=5.8959 alpha=90.00 beta=90.00 gamma=120.00
With the nearest neighbours (Å) after each atom.
Positions (direct):
K: 0.0000 0.0000 0.9828  3 Se 3.31, 3 Ru 3.54
Ru: 0.6667 0.3333 0.4457  3 Se 2.37
Se: 0.3333 0.6667 0.5715  3 Ru 2.37

The energy is -14.04 eV/cell. As for the energy above the most stable polymorph in this dataset: 0.3154 eV per atom. The calculation puts the density at 4.67 Mg/m³. The calculation puts the uncorrected formation energy at -0.061 eV per atom.

(4)
# Th3Cd2In4

A relaxed Th3Cd2In4 crystal (PBE, Alexandria via LeMat-Bulk).

Unit cell a=5.0058 b=6.2298 c=9.4395 alpha=114.16 beta=90.00 gamma=113.69
With the nearest neighbours (Å) after each atom.
Positions (direct):
In: 0.0638 0.1277 0.3951  2 Cd 2.88, 1 In 2.94
In: 0.7137 0.4275 0.0504  1 Cd 2.88, 2 In 2.93
In: 0.2863 0.5725 0.9496  1 Cd 2.88, 2 In 2.93
In: 0.9362 0.8723 0.6049  2 Cd 2.88, 1 In 2.94
Th: 0.6649 0.3298 0.6681  8 In 3.40-3.47, 4 Cd 3.41-3.44, 2 Th 3.68-3.70
Th: 0.0000 0.0000 0.0000  8 In 3.38-3.51, 4 Cd 3.45, 2 Th 3.70
Th: 0.3351 0.6702 0.3319  8 In 3.40-3.47, 4 Cd 3.41-3.44, 2 Th 3.68-3.70
Cd: 0.3871 0.7741 0.7192  3 In 2.88
Cd: 0.6129 0.2259 0.2808  3 In 2.88

The energy is -37.53 eV/cell. The calculation puts the density at 9.50 Mg/m³.

(5)
# Ac4AlSn2

A relaxed Ac4AlSn2 crystal (PBE, Alexandria via LeMat-Bulk).

Unit cell a=5.5011 b=7.2572 c=7.7499 alpha=111.54 beta=110.79 gamma=90.00
With the nearest neighbours (Å) after each atom.
Positions (direct):
Al: 0.0000 0.0000 0.0000  2 Sn 2.94
Ac: 0.5800 0.2942 0.1599  2 Al 3.39, 3 Sn 3.41-3.42
Ac: 0.8476 0.2426 0.6952  1 Al 3.32, 3 Sn 3.40-3.43
Ac: 0.1524 0.7574 0.3048  1 Al 3.32, 3 Sn 3.40-3.43
Ac: 0.4200 0.7058 0.8401  2 Al 3.39, 3 Sn 3.41-3.42
Sn: 0.7860 0.7353 0.5720  1 Al 2.94
Sn: 0.2140 0.2647 0.4280  1 Al 2.94

The energy is -30.51 eV/cell. As for the energy above the most stable polymorph in this dataset: 0.0000 eV per atom. The calculation puts the density at 7.32 Mg/m³.

(6)
# SrAg4Ge2

A relaxed SrAg4Ge2 crystal (PBE, Alexandria via LeMat-Bulk).

Unit cell a=4.5088 b=4.4982 c=7.5672 alpha=107.29 beta=90.00 gamma=90.00
With the nearest neighbours (Å) after each atom.
Positions (direct):
Ag: 0.0000 0.6848 0.3696  2 Ge 2.66, 4 Ag 2.93-2.94
Ag: 0.5000 0.8154 0.6309  2 Ge 2.66, 4 Ag 2.94
Ag: 0.0000 0.3152 0.6304  2 Ge 2.66, 4 Ag 2.93-2.94
Ag: 0.5000 0.1846 0.3691  2 Ge 2.66, 4 Ag 2.94
Ge: 0.5000 0.5867 0.1733  1 Ge 2.50, 4 Ag 2.66
Ge: 0.5000 0.4133 0.8267  1 Ge 2.50, 4 Ag 2.66
Sr: 0.0000 0.0000 0.0000  8 Ge 3.42, 8 Ag 3.49

The energy is -23.77 eV/cell. The calculation puts the density at 7.53 Mg/m³.

(7)
# Sr3Cr

A relaxed Sr3Cr crystal (PBE, Alexandria via LeMat-Bulk).

Unit cell a=7.3698 b=7.3698 c=7.3698 alpha=145.92 beta=129.22 gamma=62.57
With the nearest neighbours (Å) after each atom.
Positions (direct):
Sr: 0.0000 0.5000 0.5000  4 Cr 3.83, 8 Sr 4.09-4.28
Sr: 0.7067 0.7067 0.0000  2 Cr 3.38
Sr: 0.2933 0.2933 0.0000  2 Cr 3.38
Cr: 0.5000 0.0000 0.5000  4 Sr 3.38

The energy is -12.95 eV/cell. The calculation puts the density at 3.04 Mg/m³.

(8)
# ReAgP2

A relaxed ReAgP2 crystal (PBE, Alexandria via LeMat-Bulk).

Unit cell a=2.7912 b=2.7912 c=9.8113 alpha=90.00 beta=90.00 gamma=115.24
With the nearest neighbours (Å) after each atom.
Positions (direct):
Re: 0.0000 0.0000 0.4848  2 P 2.33
Ag: 0.5000 0.5000 0.7440  2 P 2.66, 4 Ag 2.79, 2 Re 2.95
P: 0.0000 0.0000 0.9682  2 Ag 2.66, 4 P 2.79
P: 0.5000 0.5000 0.3030  2 Re 2.33

The energy is -24.03 eV/cell. As for the energy above the most stable polymorph in this dataset: 0.4973 eV per atom. The calculation puts the density at 8.55 Mg/m³.

(9)
# TcMo2Pd

A relaxed TcMo2Pd crystal (PBE, Alexandria via LeMat-Bulk).

Unit cell a=3.9190 b=3.9395 c=3.9395 alpha=90.00 beta=90.00 gamma=90.00
With the nearest neighbours (Å) after each atom.
Positions (direct):
Pd: 0.5000 0.0000 0.0000  8 Mo 2.78, 4 Tc 2.79
Mo: 0.0000 0.0000 0.5000  4 Pd 2.78, 4 Tc 2.78, 4 Mo 2.79
Mo: 0.0000 0.5000 0.0000  4 Pd 2.78, 4 Tc 2.78, 4 Mo 2.79
Tc: 0.5000 0.5000 0.5000  8 Mo 2.78, 4 Pd 2.79

The energy is -37.11 eV/cell. As for the energy above the most stable polymorph in this dataset: 0.0000 eV per atom. The calculation puts the density at 10.82 Mg/m³.

(10)
# AlGaBi

A relaxed AlGaBi crystal (PBE, Alexandria via LeMat-Bulk).

Unit cell a=3.2260 b=6.9366 c=7.0751 alpha=79.30 beta=75.92 gamma=73.84
With the nearest neighbours (Å) after each atom.
Positions (direct):
Bi: 0.5533 0.6055 0.8742  3 Ga 2.88-3.22, 1 Al 3.11, 2 Bi 3.23
Bi: 0.8176 0.7988 0.3265  2 Al 2.86-2.98, 1 Ga 3.12
Al: 0.5236 0.0365 0.6461  2 Ga 2.69-2.75, 2 Al 2.73-2.76, 1 Bi 2.86
Al: 0.8158 0.0908 0.9594  2 Ga 2.73-2.75, 2 Al 2.73-2.76, 1 Bi 2.98
Ga: 0.0648 0.2973 0.1877  1 Ga 2.62, 2 Al 2.73-2.75
Ga: 0.8915 0.3636 0.5547  1 Ga 2.62, 2 Al 2.69-2.75, 1 Bi 2.88

The energy is -20.55 eV/cell. As for the energy above the most stable polymorph in this dataset: 0.0258 eV per atom. The calculation puts the density at 6.94 Mg/m³.

(11)
# Tb2Sm5Dy12

A relaxed Tb2Sm5Dy12 crystal (PBE, Alexandria via LeMat-Bulk).

Unit cell a=9.2668 b=9.0717 c=8.6359 alpha=92.00 beta=90.00 gamma=120.71
With the nearest neighbours (Å) after each atom.
Positions (direct):
Dy: 0.5568 0.1136 0.3371  2 Sm 3.37-3.66, 7 Dy 3.39-3.53, 2 Tb 3.41
Dy: 0.4432 0.8864 0.6629  2 Sm 3.37-3.66, 7 Dy 3.39-3.53, 2 Tb 3.41
Dy: 0.8213 0.2597 0.6701  4 Sm 3.39-3.77, 5 Dy 3.41-3.55, 1 Tb 3.57
Dy: 0.5616 0.7403 0.3299  4 Sm 3.39-3.77, 5 Dy 3.41-3.55, 1 Tb 3.57
Dy: 0.9688 0.2963 0.2397  4 Dy 3.32-3.71, 1 Tb 3.33, 4 Sm 3.51-3.68
Dy: 0.4384 0.2597 0.6701  4 Sm 3.39-3.77, 5 Dy 3.41-3.55, 1 Tb 3.57
Dy: 0.0312 0.7037 0.7603  4 Dy 3.32-3.71, 1 Tb 3.33, 4 Sm 3.51-3.68
Dy: 0.9269 0.8539 0.1252  3 Dy 3.21-3.49, 2 Sm 3.39-3.50, 2 Tb 3.43
Dy: 0.6726 0.7037 0.7603  4 Dy 3.32-3.71, 1 Tb 3.33, 4 Sm 3.51-3.68
Dy: 0.0731 0.1461 0.8748  3 Dy 3.21-3.49, 2 Sm 3.39-3.50, 2 Tb 3.43
Dy: 0.3274 0.2963 0.2397  4 Dy 3.32-3.71, 1 Tb 3.33, 4 Sm 3.51-3.68
Dy: 0.1787 0.7403 0.3299  4 Sm 3.39-3.77, 5 Dy 3.41-3.55, 1 Tb 3.57
Sm: 0.0000 0.0000 0.5000  10 Dy 3.39-3.77, 2 Sm 3.63
Sm: 0.7073 0.4145 0.0223  8 Dy 3.50-3.68, 1 Sm 3.60, 2 Tb 3.61
Sm: 0.2309 0.4617 0.5711  8 Dy 3.37-3.67, 2 Sm 3.60-3.63
Sm: 0.2927 0.5855 0.9777  8 Dy 3.50-3.68, 1 Sm 3.60, 2 Tb 3.61
Sm: 0.7691 0.5383 0.4289  8 Dy 3.37-3.67, 2 Sm 3.60-3.63
Tb: 0.3274 0.0000 0.0000  1 Tb 3.20, 8 Dy 3.33-3.57
Tb: 0.6726 0.0000 0.0000  1 Tb 3.20, 8 Dy 3.33-3.57

The energy is -85.75 eV/cell. As for the energy above the most stable polymorph in this dataset: 0.1053 eV per atom. The calculation puts the density at 8.04 Mg/m³.